[1]
# YTc2As | the Alexandria database | PBE-GGA | relaxed
# Space-group type   R3m (160)
# DOS at the Fermi energy   0.323 states/eV/atom
data_YTc2As
_chemical_formula_sum 'Y1 Tc2 As1'
_cell_length_a 4.201
_cell_length_b 4.201
_cell_length_c 5.733
_cell_angle_alpha 68.52
_cell_angle_beta 68.52
_cell_angle_gamma 60.00
_space_group_name_H-M_alt 'P 1'
_space_group_IT_number 1
loop_
_space_group_symop_operation_xyz
'x,y,z'
loop_
_atom_site_label
_atom_site_fract_x
_atom_site_fract_y
_atom_site_fract_z
Y1 0.503 0.503 0.492
Tc1 0.012 0.012 0.964
As1 0.281 0.281 0.156
Tc2 0.704 0.704 0.888



[2]
# YTc2As | the Alexandria database | PBE-GGA | relaxed
# Space-group type   P2/m (10)
# DOS at the Fermi energy   0.854 states/eV/atom
data_YTc2As
_chemical_formula_sum 'Y1 Tc2 As1'
_cell_length_a 4.681
_cell_length_b 3.397
_cell_length_c 4.711
_cell_angle_alpha 87.47
_cell_angle_beta 90.00
_cell_angle_gamma 90.00
_space_group_name_H-M_alt 'P 1'
_space_group_IT_number 1
loop_
_space_group_symop_operation_xyz
'x,y,z'
loop_
_atom_site_label
_atom_site_fract_x
_atom_site_fract_y
_atom_site_fract_z
Tc1 0.000 0.880 0.000
As1 0.500 0.750 0.750
Y1 0.500 0.250 0.250
Tc2 0.000 0.620 0.500



Number 1: energy relative to the lowest polymorph listed for this composition 0.0 meV/atom, ρ 7.524 g cm⁻³, energy of formation -1.44 eV/f.u.. Number 2: energy relative to the lowest polymorph listed for this composition 372.5 meV/atom, ρ 7.985 g cm⁻³, energy of formation 0.05 eV/f.u..